AcVCdO5: relaxed, PBE+U.

The structure in POSCAR format:
```
AcVCdO5
1.0
4.4725 -4.6885 0.0000
4.4725 4.6885 0.0000
-4.1583 0.0000 7.6851
Ac V Cd O
2 2 2 10
Direct
0.0000 0.0000 0.0000
0.0000 0.0000 0.5000
0.3635 0.6365 0.7500
0.6365 0.3635 0.2500
0.3276 0.6724 0.2500
0.6724 0.3276 0.7500
0.1102 0.8898 0.2500
0.2444 0.7284 0.9043
0.2716 0.7556 0.5957
0.3060 0.3413 0.6527
0.3413 0.3060 0.1527
0.6587 0.6940 0.8473
0.6940 0.6587 0.3473
0.7284 0.2444 0.4043
0.7556 0.2716 0.0957
0.8898 0.1102 0.7500
```

Properties
Total moment in μB/f.u.: 0.0
Space group: C2/c
ρ in g/cm3: 4.85
Total energy in eV/atom: -6.8276